# PrNdI4

An optimized crystal structure of PrNdI4 (PBE, Alexandria via LeMat-Bulk).

POSCAR file:
```
PrNdI4
1.0
7.3654 0.0000 0.0000
0.0000 4.2530 0.0000
-2.4287 0.0000 8.1813
Pr Nd I
1 1 4
Direct
0.0000 0.0000 0.0000
0.5000 0.5000 0.0000
0.2525 0.0000 0.7494
0.2522 0.5000 0.2522
0.7475 0.0000 0.2506
0.7478 0.5000 0.7478
```

E above lowest polymorph in eV/f.u.: 0.00
ΔE_f (raw) in eV per atom: -1.2985
Symmetry: No. 10

---

# CuH2PbSO6

An optimized crystal structure of CuH2PbSO6 (PBE, Alexandria via LeMat-Bulk).

POSCAR file:
```
CuH2PbSO6
1.0
4.7460 0.0000 0.0000
0.0000 5.7283 0.0000
-1.9857 0.0000 9.7262
Cu H Pb S O
2 4 2 2 12
Direct
0.0000 0.0000 0.0000
0.0000 0.5000 0.0000
0.3760 0.2500 0.1323
0.4442 0.7500 0.0537
0.5558 0.2500 0.9463
0.6240 0.7500 0.8677
0.3137 0.7500 0.3406
0.6863 0.2500 0.6594
0.1277 0.7500 0.6669
0.8723 0.2500 0.3331
0.0350 0.2500 0.4769
0.0574 0.5365 0.7423
0.0574 0.9635 0.7423
0.2617 0.7500 0.0919
0.2869 0.2500 0.0335
0.4445 0.7500 0.6712
0.5555 0.2500 0.3288
0.7131 0.7500 0.9665
0.7383 0.2500 0.9081
0.9426 0.0365 0.2577
0.9426 0.4635 0.2577
0.9650 0.7500 0.5231
```

Final energy in eV/atom: -5.559
Symmetry: No. 11

---

# RbLiSnMo2

An optimized crystal structure of RbLiSnMo2 (PBE, Alexandria via LeMat-Bulk).

POSCAR file:
```
RbLiSnMo2
1.0
4.8972 0.0000 0.0000
0.0000 4.8972 0.0000
0.0000 0.0000 5.8298
Rb Li Sn Mo
1 1 1 2
Direct
0.0000 0.0000 0.0000
0.5000 0.5000 0.5000
0.0000 0.0000 0.5000
0.0000 0.5000 0.0000
0.5000 0.0000 0.0000
```

Final energy in eV/atom: -2.992
Symmetry: No. 123

---

# Ca5Mo

An optimized crystal structure of Ca5Mo (PBE, Alexandria via LeMat-Bulk).

POSCAR file:
```
Ca5Mo
1.0
6.3854 0.0000 0.0000
-3.1927 5.5300 0.0000
0.0000 0.0000 5.7709
Ca Mo
5 1
Direct
0.0000 0.6927 0.0000
0.3073 0.3073 0.0000
0.3333 0.6667 0.5000
0.6667 0.3333 0.5000
0.6927 0.0000 0.0000
0.0000 0.0000 0.5000
```

E above lowest polymorph in eV/f.u.: 0.54
Symmetry: No. 189

---

# CdPd7Pt2

An optimized crystal structure of CdPd7Pt2 (PBE, Alexandria via LeMat-Bulk).

POSCAR file:
```
CdPd7Pt2
1.0
3.6174 -6.4141 0.0000
3.6174 6.4141 0.0000
0.0000 0.0000 4.4255
Cd Pd Pt
1 7 2
Direct
0.0000 0.0000 0.0000
0.0730 0.2926 0.5000
0.2071 0.7929 0.0000
0.2926 0.0730 0.5000
0.5000 0.5000 0.5000
0.7074 0.9270 0.5000
0.7929 0.2071 0.0000
0.9270 0.7074 0.5000
0.3003 0.6997 0.5000
0.6997 0.3003 0.5000
```

Final energy in eV/atom: -4.547
Symmetry: No. 65

---

# MgPbC3

An optimized crystal structure of MgPbC3 (PBE, Alexandria via LeMat-Bulk).

POSCAR file:
```
MgPbC3
1.0
4.2311 0.0000 0.0000
0.0000 4.2311 0.0000
0.0000 0.0000 4.2311
Mg Pb C
1 1 3
Direct
0.0000 0.0000 0.0000
0.5000 0.5000 0.5000
0.0000 0.0000 0.5000
0.0000 0.5000 0.0000
0.5000 0.0000 0.0000
```

E above lowest polymorph in eV/f.u.: 0.00
Symmetry: No. 221